Record 1
Below is a relaxed VIrPd3 crystal, with properties calculated at the PBE-GGA level.

Structure (POSCAR):
```
VIrPd3
1.0
4.493 0.000 0.000
0.000 4.493 0.000
0.000 0.000 4.493
V Ir Pd
1 1 3
Cartesian
0.000 0.000 0.000
2.246 2.246 2.246
0.000 0.000 2.246
0.000 2.246 0.000
2.246 0.000 0.000
```

Output
Space-group type: Pm-3m
ΔE_f in eV/atom: 1.151
Uncorrected energy in Ry per atom: -0.40873
Energy above the lowest structure with this stoichiometry in meV per atom: 0

Record 2
Below is a relaxed CaNpH2O6 crystal, with properties calculated at the PBE-GGA level.

Structure (POSCAR):
```
CaNpH2O6
1.0
5.072 0.000 0.000
2.029 4.871 0.000
1.663 1.965 5.218
Ca Np H O
1 1 2 6
Cartesian
0.000 0.000 0.000
4.381 3.418 2.609
1.565 1.935 1.656
7.198 4.901 3.562
3.072 5.214 3.551
2.946 3.147 1.371
3.555 2.265 3.843
5.208 4.571 1.375
5.817 3.689 3.847
5.691 1.622 1.667
```

Output
Space-group type: P-1
Uncorrected energy in Ry per atom: -0.52411